(1)
Compound: CaTl2BS
Source: the Alexandria database
Functional: SCAN
Structure: single point on PBEsol structure

Structure (CIF):
```
data_CaTl2BS
_cell_length_a 5.921
_cell_length_b 5.921
_cell_length_c 4.942
_cell_angle_alpha 90.00
_cell_angle_beta 90.00
_cell_angle_gamma 90.00
_space_group_name_H-M_alt 'P 4/m m m'
_space_group_IT_number 123
_space_group_name_Hall '-P 4 2'
loop_
_atom_site_label
_atom_site_fract_x
_atom_site_fract_y
_atom_site_fract_z
_atom_site_occupancy
Ca1 0.000 0.000 0.000 1
Tl1 0.000 0.500 0.000 1
B1 0.500 0.500 0.500 1
S1 0.000 0.000 0.500 1
```

E_tot in eV/atom: -33.300
Crystal system: tetragonal

(2)
Compound: Zn2CrMo
Source: the Alexandria database
Functional: SCAN
Structure: single point on PBEsol structure

Structure (CIF):
```
data_Zn2CrMo
_cell_length_a 3.758
_cell_length_b 3.758
_cell_length_c 7.504
_cell_angle_alpha 90.00
_cell_angle_beta 90.00
_cell_angle_gamma 90.00
_space_group_name_H-M_alt 'I -4 m 2'
_space_group_IT_number 119
_space_group_name_Hall 'I -4 -2'
loop_
_atom_site_label
_atom_site_fract_x
_atom_site_fract_y
_atom_site_fract_z
_atom_site_occupancy
Zn1 0.000 0.000 0.000 1
Zn2 0.000 0.500 0.250 1
Cr1 0.000 0.000 0.500 1
Mo1 0.000 0.500 0.750 1
```

E_form in kJ/mol of atoms: 16
Offset from the most stable computed form in kJ/mol of atoms: 0.0
Crystal system: tetragonal